{"formula": "HfSnTe2N", "functional": "GGA-PBE", "state": "relaxed", "e_form_raw_mev_per_atom": 801.1, "n_ef_per_ev_cell": 4.0, "space_group": "P4/mmm, No. 123", "energy_ev_per_atom": -4.91, "cell": [[5.723, 0.000, 0.000], [0.000, 5.723, 0.000], [0.000, 0.000, 3.878]], "species": ["Te", "Te", "Sn", "N", "Hf"], "fractional_positions": [[0.500, 0.000, 0.000], [0.000, 0.500, 0.000], [0.000, 0.000, 0.000], [0.000, 0.000, 0.500], [0.500, 0.500, 0.500]]}